LiAsCl2 | PBE | optimized geometry

abc: 4.845 4.845 4.845
angles: 60.00 60.00 60.00
Atoms (fractional coordinates):
Cl: 0.250 0.250 0.250
Cl: 0.750 0.750 0.750
Li: 0.000 0.000 0.000
As: 0.500 0.500 0.500

density of states at the Fermi level: 3.42 states/eV per cell
space group: Fm-3m
E_tot: -2.82 eV per atom